No. 1
A plane-wave DFT calculation with GGA-PBE was carried out for crystalline H3PtSe at its relaxed geometry.

- Polymorph energy (0 for the lowest one): 0.894 eV/atom
- Total magnetic moment: 0.00 Bohr magnetons per cell

Cell: 3.684 3.684 3.684 Å, 90.00 90.00 90.00°
Space group Pm-3m (No. 221)
Unique sites:
H: 0.000 0.000 0.500
Pt: 0.500 0.500 0.500
Se: 0.000 0.000 0.000


No. 2
A plane-wave DFT calculation with GGA-PBE was carried out for crystalline KCrIr2 at its relaxed geometry.

- Polymorph energy (0 for the lowest one): 0.785 eV/atom
- Total magnetic moment: 3.14 Bohr magnetons per cell
- DFT formation energy: 107.7 kJ/mol of atoms

Cell: 3.981 3.981 4.447 Å, 90.00 90.00 90.00°
Space group P4/mmm (No. 123)
Unique sites:
K: 0.000 0.000 0.000
Cr: 0.500 0.500 0.000
Ir: 0.000 0.500 0.500


No. 3
A plane-wave DFT calculation with GGA-PBE was carried out for crystalline AgPb3 at its relaxed geometry.

- Total magnetic moment: 0.00 Bohr magnetons per cell
- DFT formation energy: 14.3 kJ/mol of atoms

Cell: 6.122 6.122 6.122 Å, 90.00 90.00 90.00°
Space group Pm-3n (No. 223)
Unique sites:
Ag: 0.000 0.000 0.000
Pb: 0.000 0.250 0.500


No. 4
A plane-wave DFT calculation with GGA-PBE was carried out for crystalline Pr4Dy6Ho at its relaxed geometry.

- Polymorph energy (0 for the lowest one): 0.000 eV/atom
- Total magnetic moment: 0.00 Bohr magnetons per cell
- DFT formation energy: 28.2 kJ/mol of atoms

Cell: 6.706 6.706 16.990 Å, 90.00 90.00 90.00°
Space group I-42m (No. 121)
Unique sites:
Pr: 0.190 0.190 0.176
Dy: 0.000 0.500 0.000
Dy: 0.177 0.177 0.378
Ho: 0.000 0.000 0.000


No. 5
A plane-wave DFT calculation with GGA-PBE was carried out for crystalline FeCuNi4 at its relaxed geometry.

- Polymorph energy (0 for the lowest one): 0.130 eV/atom
- Total magnetic moment: 19.50 Bohr magnetons per cell
- DFT formation energy: 11.8 kJ/mol of atoms

Cell: 6.556 6.556 6.556 Å, 90.00 90.00 90.00°
Space group F-43m (No. 216)
Unique sites:
Fe: 0.000 0.000 0.000
Cu: 0.250 0.250 0.250
Ni: 0.125 0.125 0.625


No. 6
A plane-wave DFT calculation with GGA-PBE was carried out for crystalline CePu2GeC at its relaxed geometry.

- Total magnetic moment: 8.48 Bohr magnetons per cell
- DFT formation energy: 1.1 kJ/mol of atoms

Cell: 3.553 11.621 9.563 Å, 90.00 90.00 90.00°
Space group Cmcm (No. 63)
Unique sites:
Ce: 0.000 0.028 0.250
Pu: 0.000 0.314 0.028
Ge: 0.000 0.251 0.750
C: 0.000 0.500 0.000


No. 7
A plane-wave DFT calculation with GGA-PBE was carried out for crystalline VRh2 at its relaxed geometry.

- Total magnetic moment: 0.00 Bohr magnetons per cell
- DFT formation energy: -36.6 kJ/mol of atoms

Cell: 5.235 4.128 7.761 Å, 90.00 90.00 90.00°
Space group Pnma (No. 62)
Unique sites:
V: 0.188 0.250 0.112
Rh: 0.047 0.250 0.794
Rh: 0.161 0.250 0.437


No. 8
A plane-wave DFT calculation with GGA-PBE was carried out for crystalline Li2FeMo at its relaxed geometry.

- Polymorph energy (0 for the lowest one): 0.112 eV/atom
- Total magnetic moment: 1.52 Bohr magnetons per cell
- DFT formation energy: 33.0 kJ/mol of atoms

Cell: 2.529 4.748 4.625 Å, 90.00 97.73 90.00°
Space group P2/m (No. 10)
Unique sites:
Li: 0.200 0.000 0.256
Fe: 0.000 0.500 0.500
Mo: 0.500 0.500 0.000


No. 9
A plane-wave DFT calculation with GGA-PBE was carried out for crystalline AlCuSe at its relaxed geometry.

- E_form (uncorrected): 0.128 eV per atom
- Polymorph energy (0 for the lowest one): 0.287 eV/atom
- Total magnetic moment: 0.00 Bohr magnetons per cell

Cell: 3.691 5.000 11.105 Å, 90.00 90.00 90.00°
Space group Fmm2 (No. 42)
Unique sites:
Al: 0.000 0.000 0.000
Cu: 0.000 0.000 0.648
Se: 0.000 0.000 0.328


No. 10
A plane-wave DFT calculation with GGA-PBE was carried out for crystalline AcDyBi2 at its relaxed geometry.

- Polymorph energy (0 for the lowest one): 0.257 eV/atom
- Total magnetic moment: 0.00 Bohr magnetons per cell
- DFT formation energy: -63.4 kJ/mol of atoms

Cell: 6.067 6.067 3.558 Å, 90.00 90.00 90.00°
Space group P4/mmm (No. 123)
Unique sites:
Ac: 0.000 0.000 0.000
Dy: 0.500 0.500 0.000
Bi: 0.000 0.500 0.500


No. 11
A plane-wave DFT calculation with GGA-PBE was carried out for crystalline Er2NiP3Ir4 at its relaxed geometry.

- Total magnetic moment: 0.00 Bohr magnetons per cell
- DFT formation energy: -86.0 kJ/mol of atoms

Cell: 4.047 4.047 9.802 Å, 90.00 90.00 90.00°
Space group P-4m2 (No. 115)
Unique sites:
Er: 0.000 0.500 0.242
Ni: 0.500 0.500 0.000
P: 0.000 0.000 0.000
P: 0.000 0.500 0.639
Ir: 0.000 0.000 0.500
Ir: 0.000 0.500 0.868
Ir: 0.500 0.500 0.500


No. 12
A plane-wave DFT calculation with GGA-PBE was carried out for crystalline Sm2GeBPt6 at its relaxed geometry.

- Total magnetic moment: 0.00 Bohr magnetons per cell
- DFT formation energy: -84.5 kJ/mol of atoms

Cell: 5.729 8.670 7.372 Å, 90.00 90.00 90.00°
Space group Pmmn (No. 59, origin choice 2)
Unique sites:
Sm: 0.250 0.032 0.220
Ge: 0.250 0.750 0.811
B: 0.250 0.250 0.702
Pt: 0.004 0.250 0.916
Pt: 0.009 0.750 0.502
Pt: 0.250 0.004 0.649


No. 13
A plane-wave DFT calculation with GGA-PBE was carried out for crystalline NaPt3 at its relaxed geometry.

- Total magnetic moment: 0.00 Bohr magnetons per cell
- DFT formation energy: -3.4 kJ/mol of atoms

Cell: 5.6531 5.6531 9.2237 Å, 90.00 90.00 120.00°
Space group P6_3/mmc (No. 194)
Unique sites:
Na: 0.0000 0.0000 0.0000
Na: 0.3333 0.6667 0.2500
Pt: 0.0000 0.5000 0.0000
Pt: 0.1700 0.3400 0.7500


No. 14
A plane-wave DFT calculation with GGA-PBE was carried out for crystalline YInP2O at its relaxed geometry.

- E_form (uncorrected): -0.181 eV per atom
- Polymorph energy (0 for the lowest one): 0.042 eV/atom
- Total magnetic moment: 0.00 Bohr magnetons per cell

Cell: 5.049 5.049 4.283 Å, 90.00 90.00 90.00°
Space group P4/mmm (No. 123)
Unique sites:
Y: 0.000 0.000 0.000
In: 0.500 0.500 0.500
P: 0.000 0.500 0.500
O: 0.500 0.500 0.000


No. 15
A plane-wave DFT calculation with GGA-PBE was carried out for crystalline Tb2Pm3Ga4 at its relaxed geometry.

- Total magnetic moment: 0.00 Bohr magnetons per cell
- DFT formation energy: -44.7 kJ/mol of atoms

Cell: 10.962 4.496 9.696 Å, 90.00 90.02 90.00°
Space group C2/m (No. 12)
Unique sites:
Tb: 0.180 0.000 0.231
Pm: 0.000 0.500 0.000
Pm: 0.121 0.000 0.614
Ga: 0.080 0.500 0.395
Ga: 0.196 0.000 0.927


No. 16
A plane-wave DFT calculation with GGA-PBE was carried out for crystalline Ca5Pt2Pb5 at its relaxed geometry.

- Total magnetic moment: 0.00 Bohr magnetons per cell
- DFT formation energy: -54.4 kJ/mol of atoms

Cell: 16.545 4.746 10.747 Å, 90.00 128.19 90.00°
Space group C2/m (No. 12)
Unique sites:
Ca: 0.000 0.000 0.000
Ca: 0.141 0.000 0.850
Ca: 0.163 0.000 0.506
Pt: 0.150 0.500 0.064
Pb: 0.000 0.500 0.500
Pb: 0.046 0.500 0.242
Pb: 0.246 0.000 0.244


No. 17
A plane-wave DFT calculation with GGA-PBE was carried out for crystalline ZnP2Ru at its relaxed geometry.

- Total magnetic moment: 0.00 Bohr magnetons per cell
- DFT formation energy: 5.7 kJ/mol of atoms

Cell: 2.862 2.862 7.472 Å, 90.00 90.00 90.00°
Space group P4mm (No. 99)
Unique sites:
Zn: 0.000 0.000 0.000
P: 0.000 0.000 0.586
P: 0.500 0.500 0.249
Ru: 0.500 0.500 0.750


No. 18
A plane-wave DFT calculation with GGA-PBE was carried out for crystalline Zr2RhSe at its relaxed geometry.

- E_form (uncorrected): -0.820 eV per atom
- Total magnetic moment: 0.00 Bohr magnetons per cell

Cell: 10.268 3.401 4.369 Å, 90.00 93.99 90.00°
Space group Cm (No. 8)
Unique sites:
Zr: 0.000 0.000 0.000
Zr: 0.222 0.500 0.559
Rh: 0.267 0.000 0.063
Se: 0.453 0.000 0.505


No. 19
A plane-wave DFT calculation with GGA-PBE was carried out for crystalline BaTbAs2 at its relaxed geometry.

- Polymorph energy (0 for the lowest one): 0.051 eV/atom
- Total magnetic moment: 0.00 Bohr magnetons per cell
- DFT formation energy: -104.7 kJ/mol of atoms

Cell: 4.2716 4.2716 23.4289 Å, 90.00 90.00 120.00°
Space group R3m (No. 160, hexagonal axes)
Unique sites:
Ba: 0.0000 0.0000 0.0000
Tb: 0.0000 0.0000 0.8280
As: 0.0000 0.0000 0.2334
As: 0.0000 0.0000 0.4266


No. 20
A plane-wave DFT calculation with GGA-PBE was carried out for crystalline NaScSn at its relaxed geometry.

- Total magnetic moment: 0.00 Bohr magnetons per cell
- DFT formation energy: -27.5 kJ/mol of atoms

Cell: 6.844 4.674 9.278 Å, 90.00 90.00 90.00°
Space group Pnma (No. 62)
Unique sites:
Na: 0.144 0.250 0.039
Sc: 0.068 0.250 0.677
Sn: 0.197 0.250 0.358


No. 21
A plane-wave DFT calculation with GGA-PBE was carried out for crystalline CaAc3Nd at its relaxed geometry.

- Total magnetic moment: 0.00 Bohr magnetons per cell
- DFT formation energy: 13.9 kJ/mol of atoms

Cell: 6.045 12.106 11.853 Å, 90.00 90.00 90.00°
Space group Cmmm (No. 65)
Unique sites:
Ca: 0.000 0.158 0.000
Ac: 0.000 0.154 0.310
Ac: 0.000 0.500 0.182
Nd: 0.000 0.367 0.500


No. 22
A plane-wave DFT calculation with GGA-PBE was carried out for crystalline SbMoPt2 at its relaxed geometry.

- E_form (uncorrected): -0.101 eV per atom
- Total magnetic moment: 0.00 Bohr magnetons per cell

Cell: 2.920 2.920 8.384 Å, 90.00 90.00 90.00°
Space group P4/mmm (No. 123)
Unique sites:
Sb: 0.000 0.000 0.000
Mo: 0.000 0.000 0.500
Pt: 0.500 0.500 0.283


No. 23
A plane-wave DFT calculation with GGA-PBE was carried out for crystalline U2Fe2P2C at its relaxed geometry.

- Total magnetic moment: 7.39 Bohr magnetons per cell
- DFT formation energy: -62.6 kJ/mol of atoms

Cell: 10.490 3.769 6.268 Å, 90.00 124.59 90.00°
Space group C2/m (No. 12)
Unique sites:
U: 0.048 0.000 0.294
Fe: 0.200 0.500 0.086
P: 0.185 0.500 0.713
C: 0.000 0.500 0.000


No. 24
A plane-wave DFT calculation with GGA-PBE was carried out for crystalline Zn2NiCl at its relaxed geometry.

- E_form (uncorrected): -0.203 eV per atom
- Polymorph energy (0 for the lowest one): 0.000 eV/atom
- Total magnetic moment: 0.00 Bohr magnetons per cell

Cell: 2.950 3.053 7.088 Å, 90.00 90.00 90.00°
Space group Pmmm (No. 47)
Unique sites:
Zn: 0.000 0.000 0.202
Ni: 0.500 0.500 0.000
Cl: 0.500 0.000 0.500